# 1
VASP calculation (GGA-PBE) on a geometry-optimized Ba2PaI3O3 structure.

Structure (extended XYZ):
```
9
Lattice="9.189 0.000 0.000 -4.595 7.958 0.000 0.000 0.000 3.589" Properties=species:S:1:pos:R:3 pbc="T T T"
Ba 0.000 5.305 0.000
Ba 4.595 2.653 0.000
Pa 0.000 0.000 1.794
I -1.814 3.142 1.794
I 3.628 0.000 1.794
I 2.781 4.816 1.794
O -3.855 6.678 0.000
O 0.739 1.281 0.000
O 7.711 0.000 0.000
```

As for the density of states at the Fermi level: 0.3633 states/eV/atom. As for the uncorrected formation energy: -1.90 eV per atom. The value obtained for the volume is 262.5 Å³ per cell. As for the total magnetization: 0.10 μB per cell.

=====

# 2
VASP calculation (GGA-PBE) on a geometry-optimized BaPbIO2 structure.

Structure (extended XYZ):
```
5
Lattice="4.896 0.000 0.000 0.000 4.896 0.000 0.000 0.000 6.714" Properties=species:S:1:pos:R:3 pbc="T T T"
Ba 0.000 0.000 0.000
Pb 2.448 2.448 3.357
I 0.000 0.000 3.357
O 0.000 2.448 0.000
O 2.448 0.000 0.000
```

As for the density of states at the Fermi level: 0.5953 states/eV/atom. As for the uncorrected formation energy: -0.55 eV per atom. For the energy above the lowest structure with this stoichiometry, the calculation gives 1017 meV per atom. The value obtained for the volume is 160.9 Å³ per cell. As for the total magnetization: 1.16 μB per cell.

=====

# 3
VASP calculation (GGA-PBE) on a geometry-optimized Ba2PbIO3 structure.

Structure (extended XYZ):
```
14
Lattice="3.820 2.205 7.295 -3.820 2.205 7.295 0.000 -4.411 7.295" Properties=species:S:1:pos:R:3 pbc="T T T"
Ba 0.000 0.000 0.000
Ba -3.820 0.000 10.942
Ba -1.910 1.103 3.647
Ba 1.910 1.103 3.647
Pb 0.000 0.000 9.378
Pb 0.000 0.000 12.507
I 0.000 0.000 6.310
I 0.000 0.000 15.575
O -1.955 -1.129 12.452
O 0.000 -2.258 9.433
O -1.955 1.129 9.433
O 1.955 -1.129 12.452
O 0.000 2.258 12.452
O 1.955 1.129 9.433
```

As for the density of states at the Fermi level: 0.0279 states/eV/atom. As for the uncorrected formation energy: -1.61 eV per atom. The value obtained for the volume is 368.7 Å³ per cell. As for the total magnetization: 0.00 μB per cell.

=====

# 4
VASP calculation (GGA-PBE) on a geometry-optimized BaPbI2O structure.

Structure (extended XYZ):
```
5
Lattice="6.784 0.000 0.000 0.000 6.784 0.000 0.000 0.000 4.509" Properties=species:S:1:pos:R:3 pbc="T T T"
Ba 0.000 0.000 0.000
Pb 3.392 3.392 2.254
I 0.000 3.392 0.000
I 3.392 0.000 0.000
O 0.000 0.000 2.254
```

As for the density of states at the Fermi level: 0.5678 states/eV/atom. As for the uncorrected formation energy: -0.74 eV per atom. For the energy above the lowest structure with this stoichiometry, the calculation gives 224 meV per atom. The value obtained for the volume is 207.5 Å³ per cell. As for the total magnetization: 0.47 μB per cell.

=====

# 5
VASP calculation (GGA-PBE) on a geometry-optimized BaPb2IO8 structure.

Structure (extended XYZ):
```
12
Lattice="5.054 0.000 0.000 0.000 7.495 0.000 -0.067 0.000 5.070" Properties=species:S:1:pos:R:3 pbc="T T T"
Ba 0.000 0.000 0.000
Pb 2.493 1.965 2.535
Pb 2.493 5.529 2.535
I 0.000 3.747 0.000
O 0.954 2.352 4.270
O 0.954 5.143 4.270
O 1.266 3.747 1.519
O 1.267 0.000 2.393
O 3.720 0.000 2.677
O 3.720 3.747 3.551
O 4.033 2.352 0.800
O 4.033 5.143 0.800
```

As for the density of states at the Fermi level: 0.1500 states/eV/atom. As for the uncorrected formation energy: -0.89 eV per atom. The value obtained for the volume is 192.0 Å³ per cell. As for the total magnetization: 0.87 μB per cell.

=====

# 6
VASP calculation (GGA-PBE) on a geometry-optimized BaPbIO6 structure.

Structure (extended XYZ):
```
9
Lattice="5.787 0.000 0.000 -2.894 5.012 0.000 0.000 0.000 5.585" Properties=species:S:1:pos:R:3 pbc="T T T"
Ba 0.000 0.000 0.000
Pb 0.000 3.341 2.793
I 2.894 1.671 2.793
O 2.189 0.267 3.911
O 1.326 1.763 1.675
O 3.598 0.267 1.675
O 2.030 2.983 3.911
O 4.462 1.763 3.911
O 3.757 2.983 1.675
```

As for the density of states at the Fermi level: 0.3927 states/eV/atom. As for the uncorrected formation energy: -1.11 eV per atom. The value obtained for the volume is 162.0 Å³ per cell. As for the total magnetization: 0.00 μB per cell.

=====

# 7
VASP calculation (GGA-PBE) on a geometry-optimized BaPbI2O structure.

Structure (extended XYZ):
```
5
Lattice="6.467 0.000 0.000 0.000 6.467 0.000 0.000 0.000 4.465" Properties=species:S:1:pos:R:3 pbc="T T T"
Ba 0.000 0.000 0.000
Pb 3.234 3.234 2.233
I 0.000 3.234 2.233
I 3.234 0.000 2.233
O 3.234 3.234 0.000
```

As for the density of states at the Fermi level: 0.3661 states/eV/atom. As for the uncorrected formation energy: -0.96 eV per atom. For the energy above the lowest structure with this stoichiometry, the calculation gives 0 meV per atom. The value obtained for the volume is 186.7 Å³ per cell. As for the total magnetization: 0.00 μB per cell.

=====

# 8
VASP calculation (GGA-PBE) on a geometry-optimized BaPbIO2 structure.

Structure (extended XYZ):
```
10
Lattice="3.089 -7.237 0.000 3.089 7.237 0.000 0.000 0.000 6.100" Properties=species:S:1:pos:R:3 pbc="T T T"
Ba 3.089 5.742 4.575
Ba 3.089 -5.742 1.525
Pb 3.089 0.867 4.575
Pb 3.089 -0.867 1.525
I 3.089 3.623 1.525
I 3.089 -3.623 4.575
O 1.685 0.000 0.000
O 1.685 0.000 3.050
O 4.492 0.000 0.000
O 4.492 0.000 3.050
```

As for the density of states at the Fermi level: 0.2694 states/eV/atom. As for the uncorrected formation energy: -1.57 eV per atom. For the energy above the lowest structure with this stoichiometry, the calculation gives 0 meV per atom. The value obtained for the volume is 272.7 Å³ per cell. As for the total magnetization: 0.00 μB per cell.

=====

# 9
VASP calculation (GGA-PBE) on a geometry-optimized BaPdIO6 structure.

Structure (extended XYZ):
```
9
Lattice="2.744 -4.622 0.000 2.744 4.622 0.000 -0.107 0.000 5.776" Properties=species:S:1:pos:R:3 pbc="T T T"
Ba 0.000 0.000 0.000
Pd 2.690 1.587 2.888
I 2.690 -1.491 2.888
O 1.048 -1.591 3.920
O 2.048 -0.007 1.795
O 3.332 -0.007 3.981
O 1.866 -2.697 1.699
O 3.515 -2.697 4.077
O 4.332 -1.591 1.856
```

As for the density of states at the Fermi level: 0.0223 states/eV/atom. As for the uncorrected formation energy: -0.98 eV per atom. The value obtained for the volume is 146.5 Å³ per cell. As for the total magnetization: 1.02 μB per cell.

=====

# 10
VASP calculation (GGA-PBE) on a geometry-optimized Ba2PdIO6 structure.

Structure (extended XYZ):
```
10
Lattice="-2.984 2.984 4.203 2.984 -2.984 4.203 2.984 2.984 -4.203" Properties=species:S:1:pos:R:3 pbc="T T T"
Ba 2.984 0.000 2.102
Ba 0.000 2.984 2.102
Pd 0.000 0.000 0.000
I 0.000 0.000 4.203
O 0.000 0.000 2.184
O 1.559 1.559 0.000
O 1.426 -1.426 4.203
O -1.426 1.426 4.203
O 1.426 1.426 4.203
O 0.000 0.000 6.223
```

As for the density of states at the Fermi level: 0.2337 states/eV/atom. As for the uncorrected formation energy: -1.40 eV per atom. The value obtained for the volume is 149.7 Å³ per cell. As for the total magnetization: 0.00 μB per cell.

=====

# 11
VASP calculation (GGA-PBE) on a geometry-optimized Ba8Pd3I3O structure.

Structure (extended XYZ):
```
15
Lattice="7.889 -4.559 0.000 7.889 4.559 0.000 -5.266 0.000 8.846" Properties=species:S:1:pos:R:3 pbc="T T T"
Ba -0.229 0.000 6.037
Ba 4.055 2.476 6.036
Ba 6.458 2.476 2.809
Ba 2.624 0.000 2.624
Ba 7.889 0.000 6.221
Ba 4.055 -2.476 6.036
Ba 6.458 -2.476 2.809
Ba 10.742 0.000 2.808
Pd 1.312 2.279 4.423
Pd 1.312 -2.279 4.423
Pd 5.257 0.000 4.423
I 0.000 0.000 0.000
I 3.945 2.279 0.000
I 3.945 -2.279 0.000
O -2.633 0.000 4.423
```

As for the density of states at the Fermi level: 0.7643 states/eV/atom. As for the uncorrected formation energy: -1.05 eV per atom. The value obtained for the volume is 636.3 Å³ per cell. As for the total magnetization: 0.18 μB per cell.

=====

# 12
VASP calculation (GGA-PBE) on a geometry-optimized Ba2PdI2O2 structure.

Structure (extended XYZ):
```
7
Lattice="-2.135 2.135 11.094 2.135 -2.135 11.094 2.135 2.135 -11.094" Properties=species:S:1:pos:R:3 pbc="T T T"
Ba 0.000 0.000 1.864
Ba 0.000 0.000 20.324
Pd 0.000 0.000 11.094
I 0.000 0.000 7.391
I 0.000 0.000 14.796
O 2.135 0.000 0.000
O 0.000 2.135 0.000
```

As for the density of states at the Fermi level: 0.7452 states/eV/atom. As for the uncorrected formation energy: -1.62 eV per atom. The value obtained for the volume is 202.3 Å³ per cell. As for the total magnetization: 0.21 μB per cell.